## Pr2AgGe (PBE)

Data for a geometry-optimized Pr2AgGe structure.

```
data_Pr2AgGe
_chemical_formula_sum 'Pr4 Ag2 Ge2'
_space_group_name_H-M_alt 'P 1'
_space_group_IT_number 1
_cell_length_a 4.508
_cell_length_b 6.060
_cell_length_c 7.959
_cell_angle_alpha 90.00
_cell_angle_beta 90.00
_cell_angle_gamma 90.00
loop_
_space_group_symop_operation_xyz
'x,y,z'
loop_
_atom_site_label
_atom_site_type_symbol
_atom_site_fract_x
_atom_site_fract_y
_atom_site_fract_z
Pr1 Pr 0.000 0.106 0.000
Pr2 Pr 0.000 0.894 0.500
Pr3 Pr 0.500 0.375 0.357
Pr4 Pr 0.500 0.625 0.857
Ag1 Ag 0.000 0.387 0.643
Ag2 Ag 0.000 0.613 0.143
Ge1 Ge 0.500 0.109 0.720
Ge2 Ge 0.500 0.891 0.220
```

***

## LiAlAg (PBE)

Data for a geometry-optimized LiAlAg structure.

```
data_LiAlAg
_chemical_formula_sum 'Li1 Al1 Ag1'
_space_group_name_H-M_alt 'P 1'
_space_group_IT_number 1
_cell_length_a 4.320
_cell_length_b 4.320
_cell_length_c 4.320
_cell_angle_alpha 60.00
_cell_angle_beta 60.00
_cell_angle_gamma 60.00
loop_
_space_group_symop_operation_xyz
'x,y,z'
loop_
_atom_site_label
_atom_site_type_symbol
_atom_site_fract_x
_atom_site_fract_y
_atom_site_fract_z
Li1 Li 0.000 0.000 0.000
Al1 Al 0.750 0.750 0.750
Ag1 Ag 0.500 0.500 0.500
```

Computed properties:
Polymorph energy (0 for the lowest one): 84 meV/atom

***

## ZrCoHgGe (PBE)

Data for a geometry-optimized ZrCoHgGe structure.

```
data_ZrCoHgGe
_chemical_formula_sum 'Zr1 Co1 Hg1 Ge1'
_space_group_name_H-M_alt 'P 1'
_space_group_IT_number 1
_cell_length_a 4.615
_cell_length_b 4.615
_cell_length_c 4.615
_cell_angle_alpha 60.00
_cell_angle_beta 60.00
_cell_angle_gamma 60.00
loop_
_space_group_symop_operation_xyz
'x,y,z'
loop_
_atom_site_label
_atom_site_type_symbol
_atom_site_fract_x
_atom_site_fract_y
_atom_site_fract_z
Zr1 Zr 0.000 0.000 0.000
Co1 Co 0.500 0.500 0.500
Hg1 Hg 0.750 0.750 0.750
Ge1 Ge 0.250 0.250 0.250
```

Computed properties:
Polymorph energy (0 for the lowest one): 0 meV/atom

***

## NdDySn2Pd4 (PBE)

Data for a geometry-optimized NdDySn2Pd4 structure.

```
data_NdDySn2Pd4
_chemical_formula_sum 'Nd1 Dy1 Sn2 Pd4'
_space_group_name_H-M_alt 'P 1'
_space_group_IT_number 1
_cell_length_a 4.608
_cell_length_b 4.608
_cell_length_c 9.092
_cell_angle_alpha 90.00
_cell_angle_beta 90.00
_cell_angle_gamma 120.00
loop_
_space_group_symop_operation_xyz
'x,y,z'
loop_
_atom_site_label
_atom_site_type_symbol
_atom_site_fract_x
_atom_site_fract_y
_atom_site_fract_z
Nd1 Nd 0.000 0.000 0.000
Dy1 Dy 0.333 0.667 0.500
Sn1 Sn 0.667 0.333 0.256
Sn2 Sn 0.667 0.333 0.744
Pd1 Pd 0.000 0.000 0.340
Pd2 Pd 0.000 0.000 0.660
Pd3 Pd 0.333 0.667 0.172
Pd4 Pd 0.333 0.667 0.828
```

***

In eV/atom, the final energy values for the records above are, in order, -4.77, -2.74, -5.10, -5.62.